# 1
The following is a DFT calculation (PBE) of K2SiAs after structural relaxation.

Cell: 3.010 5.297 6.346 Å, 90.00 90.42 90.00°
Atoms (fractional coordinates):
1 K 0.002 0.000 0.244
2 K 0.998 0.000 0.756
3 Si 0.500 0.500 0.500
4 As 0.500 0.500 0.000

Results
- E: -2.8491 eV/atom
- Volume: 101 Å³/cell
- Size of the total moment: 0.00 Bohr magnetons per cell
- Excess energy over the best structure of this formula in the dataset: 1.81 eV per formula unit
- Mass density: 3.0 g cm⁻³
- Formation energy without anion corrections: 0.2178 eV/atom
- Crystal system: monoclinic
- Symmetry: No. 10

# 2
The following is a DFT calculation (PBE) of Pm2SmPd after structural relaxation.

Cell: 3.676 3.676 8.576 Å, 90.00 90.00 90.00°
Atoms (fractional coordinates):
1 Pm 0.000 0.000 0.199
2 Pm 0.000 0.000 0.801
3 Sm 0.500 0.500 0.500
4 Pd 0.500 0.500 0.000

Results
- E_form: -1.350 eV/f.u.
- E: -5.1909 eV/atom
- Volume: 116 Å³/cell
- Size of the total moment: 0.00 Bohr magnetons per cell
- Excess energy over the best structure of this formula in the dataset: 0.33 eV per formula unit
- Mass density: 7.8 g cm⁻³
- Crystal system: tetragonal
- Symmetry: No. 123

# 3
The following is a DFT calculation (PBE) of Hf2VGa4 after structural relaxation.

Cell: 5.685 5.685 5.685 Å, 121.63 121.63 87.20°
Atoms (fractional coordinates):
1 Hf 0.000 0.500 0.500
2 Hf 0.500 0.000 0.500
3 V 0.000 0.000 0.000
4 Ga 0.000 0.000 0.500
5 Ga 0.000 0.500 0.000
6 Ga 0.500 0.000 0.000
7 Ga 0.500 0.500 0.500

Results
- E_form: -1.904 eV/f.u.
- E: -6.1482 eV/atom
- Volume: 127 Å³/cell
- Size of the total moment: 0.24 Bohr magnetons per cell
- Mass density: 9.0 g cm⁻³
- Crystal system: tetragonal
- Symmetry: No. 139